Entry 1:
VFe3Cl9 | PBE-GGA | relaxed Values from VASP.

```
&SYSTEM
  ibrav = 0, nat = 26, ntyp = 3
/
ATOMIC_SPECIES
V 50.94 V.upf
Fe 55.84 Fe.upf
Cl 35.45 Cl.upf
CELL_PARAMETERS angstrom
8.450 -4.416 0.000
8.450 4.416 0.000
-7.583 0.000 9.751
ATOMIC_POSITIONS crystal
V 0.224 0.776 0.500
V 0.776 0.224 0.000
Fe 0.014 0.241 0.816
Fe 0.241 0.014 0.316
Fe 0.299 0.450 0.680
Fe 0.450 0.299 0.180
Fe 0.692 0.777 0.227
Fe 0.777 0.692 0.727
Cl 0.087 0.150 0.157
Cl 0.091 0.897 0.319
Cl 0.150 0.087 0.657
Cl 0.191 0.392 0.008
Cl 0.319 0.686 0.692
Cl 0.346 0.458 0.362
Cl 0.392 0.191 0.508
Cl 0.458 0.346 0.862
Cl 0.471 0.763 0.239
Cl 0.510 0.788 0.562
Cl 0.544 0.996 0.132
Cl 0.686 0.319 0.192
Cl 0.763 0.471 0.739
Cl 0.788 0.510 0.062
Cl 0.791 0.923 0.933
Cl 0.897 0.091 0.819
Cl 0.923 0.791 0.433
Cl 0.996 0.544 0.632
```

Values from the calculation:
For the uncorrected formation energy, the calculation gives -0.79 eV/atom. The calculation puts the volume at 727.7 Å³/cell. The calculation puts the density of states at the Fermi level at 44.64 states/eV per cell. As for the space group: Cc, No. 9.



Entry 2:
VFe2Cl | PBE-GGA | relaxed Values from VASP.

```
&SYSTEM
  ibrav = 0, nat = 16, ntyp = 3
/
ATOMIC_SPECIES
V 50.94 V.upf
Fe 55.84 Fe.upf
Cl 35.45 Cl.upf
CELL_PARAMETERS angstrom
5.976 0.000 0.000
0.000 5.976 0.000
0.000 0.000 5.976
ATOMIC_POSITIONS crystal
V 0.000 0.000 0.000
V 0.000 0.500 0.500
V 0.500 0.000 0.500
V 0.500 0.500 0.000
Fe 0.250 0.250 0.250
Fe 0.250 0.250 0.750
Fe 0.250 0.750 0.250
Fe 0.250 0.750 0.750
Fe 0.750 0.250 0.250
Fe 0.750 0.250 0.750
Fe 0.750 0.750 0.250
Fe 0.750 0.750 0.750
Cl 0.000 0.000 0.500
Cl 0.000 0.500 0.000
Cl 0.500 0.000 0.000
Cl 0.500 0.500 0.500
```

Values from the calculation:
For the uncorrected formation energy, the calculation gives 0.75 eV/atom. The calculation puts the volume at 213.4 Å³/cell. Its distance to the lowest polymorph of the same formula is 172 meV per atom. The calculation puts the density of states at the Fermi level at 20.96 states/eV per cell. As for the space group: Fm-3m, No. 225.



Entry 3:
V3FeCl | PBE-GGA | relaxed Values from VASP.

```
&SYSTEM
  ibrav = 0, nat = 5, ntyp = 3
/
ATOMIC_SPECIES
V 50.94 V.upf
Fe 55.84 Fe.upf
Cl 35.45 Cl.upf
CELL_PARAMETERS angstrom
4.437 0.000 0.000
0.000 4.437 0.000
0.000 0.000 4.437
ATOMIC_POSITIONS crystal
V 0.000 0.000 0.500
V 0.000 0.500 0.000
V 0.500 0.000 0.000
Fe 0.000 0.000 0.000
Cl 0.500 0.500 0.500
```

Values from the calculation:
For the uncorrected formation energy, the calculation gives 0.91 eV/atom. The calculation puts the volume at 87.3 Å³/cell. Its distance to the lowest polymorph of the same formula is 209 meV per atom. The calculation puts the density of states at the Fermi level at 6.31 states/eV per cell. As for the space group: Pm-3m, No. 221.



Entry 4:
VFe2Cl | PBE-GGA | relaxed Values from VASP.

```
&SYSTEM
  ibrav = 0, nat = 16, ntyp = 3
/
ATOMIC_SPECIES
V 50.94 V.upf
Fe 55.84 Fe.upf
Cl 35.45 Cl.upf
CELL_PARAMETERS angstrom
6.819 0.000 0.000
0.000 6.819 0.000
0.000 0.000 4.919
ATOMIC_POSITIONS crystal
V 0.000 0.000 0.000
V 0.000 0.500 0.250
V 0.500 0.000 0.750
V 0.500 0.500 0.500
Fe 0.230 0.250 0.625
Fe 0.250 0.730 0.875
Fe 0.250 0.770 0.375
Fe 0.270 0.250 0.125
Fe 0.730 0.750 0.125
Fe 0.750 0.230 0.375
Fe 0.750 0.270 0.875
Fe 0.770 0.750 0.625
Cl 0.000 0.000 0.500
Cl 0.000 0.500 0.750
Cl 0.500 0.000 0.250
Cl 0.500 0.500 0.000
```

Values from the calculation:
For the uncorrected formation energy, the calculation gives 0.58 eV/atom. The calculation puts the volume at 228.7 Å³/cell. Its distance to the lowest polymorph of the same formula is 0 meV per atom. The calculation puts the density of states at the Fermi level at 19.67 states/eV per cell. As for the space group: I-42d, No. 122.



Entry 5:
ZrVFe2Cl | PBE-GGA | relaxed Values from VASP.

```
&SYSTEM
  ibrav = 0, nat = 5, ntyp = 4
/
ATOMIC_SPECIES
Zr 91.22 Zr.upf
V 50.94 V.upf
Fe 55.84 Fe.upf
Cl 35.45 Cl.upf
CELL_PARAMETERS angstrom
4.511 0.000 0.000
0.000 4.511 0.000
0.000 0.000 4.839
ATOMIC_POSITIONS crystal
Zr 0.000 0.000 0.000
V 0.500 0.500 0.500
Fe 0.000 0.500 0.000
Fe 0.500 0.000 0.000
Cl 0.000 0.000 0.500
```

Values from the calculation:
For the uncorrected formation energy, the calculation gives 1.57 eV/atom. The calculation puts the volume at 98.5 Å³/cell. The calculation puts the density of states at the Fermi level at 11.25 states/eV per cell. As for the space group: P4/mmm, No. 123.



Entry 6:
FeW2Cl | PBE-GGA | relaxed Values from VASP.

```
&SYSTEM
  ibrav = 0, nat = 12, ntyp = 3
/
ATOMIC_SPECIES
Fe 55.84 Fe.upf
W 183.84 W.upf
Cl 35.45 Cl.upf
CELL_PARAMETERS angstrom
2.835 0.000 0.000
-1.417 2.455 0.000
0.000 0.000 25.357
ATOMIC_POSITIONS crystal
Fe 0.000 0.000 0.000
Fe 0.333 0.667 0.667
Fe 0.667 0.333 0.333
W 0.000 0.000 0.252
W 0.000 0.000 0.748
W 0.333 0.667 0.414
W 0.333 0.667 0.919
W 0.667 0.333 0.081
W 0.667 0.333 0.586
Cl 0.000 0.000 0.500
Cl 0.333 0.667 0.167
Cl 0.667 0.333 0.833
```

Values from the calculation:
For the uncorrected formation energy, the calculation gives 0.53 eV/atom. The calculation puts the volume at 176.5 Å³/cell. Its distance to the lowest polymorph of the same formula is 119 meV per atom. The calculation puts the density of states at the Fermi level at 8.54 states/eV per cell. As for the space group: R-3m, No. 166.



Entry 7:
Fe2WCl | PBE-GGA | relaxed Values from VASP.

```
&SYSTEM
  ibrav = 0, nat = 4, ntyp = 3
/
ATOMIC_SPECIES
Fe 55.84 Fe.upf
W 183.84 W.upf
Cl 35.45 Cl.upf
CELL_PARAMETERS angstrom
2.875 0.000 0.000
0.000 2.875 0.000
0.000 0.000 7.750
ATOMIC_POSITIONS crystal
Fe 0.000 0.000 0.000
Fe 0.500 0.500 0.178
W 0.000 0.000 0.382
Cl 0.500 0.500 0.613
```

Values from the calculation:
For the uncorrected formation energy, the calculation gives 0.38 eV/atom. The calculation puts the volume at 64.1 Å³/cell. Its distance to the lowest polymorph of the same formula is 61 meV per atom. The calculation puts the density of states at the Fermi level at 2.22 states/eV per cell. As for the space group: P4mm, No. 99.



Entry 8:
FeW2Cl | PBE-GGA | relaxed Values from VASP.

```
&SYSTEM
  ibrav = 0, nat = 8, ntyp = 3
/
ATOMIC_SPECIES
Fe 55.84 Fe.upf
W 183.84 W.upf
Cl 35.45 Cl.upf
CELL_PARAMETERS angstrom
2.819 0.000 0.000
0.000 4.467 0.000
0.000 0.000 8.887
ATOMIC_POSITIONS crystal
Fe 0.000 0.000 0.000
Fe 0.500 0.500 0.500
W 0.000 0.000 0.541
W 0.000 0.500 0.751
W 0.500 0.000 0.251
W 0.500 0.500 0.041
Cl 0.000 0.500 0.275
Cl 0.500 0.000 0.775
```

Values from the calculation:
For the uncorrected formation energy, the calculation gives 0.75 eV/atom. The calculation puts the volume at 111.9 Å³/cell. Its distance to the lowest polymorph of the same formula is 345 meV per atom. The calculation puts the density of states at the Fermi level at 6.99 states/eV per cell. As for the space group: Imm2, No. 44.



Entry 9:
FeWCl2 | PBE-GGA | relaxed Values from VASP.

```
&SYSTEM
  ibrav = 0, nat = 4, ntyp = 3
/
ATOMIC_SPECIES
Fe 55.84 Fe.upf
W 183.84 W.upf
Cl 35.45 Cl.upf
CELL_PARAMETERS angstrom
2.824 0.000 0.000
0.000 4.222 0.000
0.000 0.000 5.561
ATOMIC_POSITIONS crystal
Fe 0.000 0.000 0.000
W 0.500 0.000 0.500
Cl 0.000 0.500 0.500
Cl 0.500 0.500 0.000
```

Values from the calculation:
For the uncorrected formation energy, the calculation gives 0.78 eV/atom. The calculation puts the volume at 66.3 Å³/cell. Its distance to the lowest polymorph of the same formula is 920 meV per atom. The calculation puts the density of states at the Fermi level at 4.00 states/eV per cell. As for the space group: Pmmm, No. 47.



Entry 10:
FeWCl4 | PBE-GGA | relaxed Values from VASP.

```
&SYSTEM
  ibrav = 0, nat = 6, ntyp = 3
/
ATOMIC_SPECIES
Fe 55.84 Fe.upf
W 183.84 W.upf
Cl 35.45 Cl.upf
CELL_PARAMETERS angstrom
0.000 4.044 4.044
4.044 0.000 4.044
4.044 4.044 0.000
ATOMIC_POSITIONS crystal
Fe 0.000 0.000 0.000
W 0.750 0.750 0.750
Cl 0.375 0.375 0.375
Cl 0.375 0.375 0.875
Cl 0.375 0.875 0.375
Cl 0.875 0.375 0.375
```

Values from the calculation:
For the uncorrected formation energy, the calculation gives 1.67 eV/atom. The calculation puts the volume at 132.3 Å³/cell. The calculation puts the density of states at the Fermi level at 14.74 states/eV per cell. As for the space group: F-43m, No. 216.



Entry 11:
FeW2Cl | PBE-GGA | relaxed Values from VASP.

```
&SYSTEM
  ibrav = 0, nat = 8, ntyp = 3
/
ATOMIC_SPECIES
Fe 55.84 Fe.upf
W 183.84 W.upf
Cl 35.45 Cl.upf
CELL_PARAMETERS angstrom
4.317 0.000 0.000
0.000 4.317 0.000
0.000 0.000 6.700
ATOMIC_POSITIONS crystal
Fe 0.000 0.000 0.000
Fe 0.500 0.500 0.500
W 0.000 0.000 0.500
W 0.000 0.500 0.750
W 0.500 0.000 0.250
W 0.500 0.500 0.000
Cl 0.000 0.500 0.250
Cl 0.500 0.000 0.750
```

Values from the calculation:
For the uncorrected formation energy, the calculation gives 1.17 eV/atom. The calculation puts the volume at 124.9 Å³/cell. Its distance to the lowest polymorph of the same formula is 759 meV per atom. The calculation puts the density of states at the Fermi level at 8.48 states/eV per cell. As for the space group: I-4m2, No. 119.



Entry 12:
Fe2WCl | PBE-GGA | relaxed Values from VASP.

```
&SYSTEM
  ibrav = 0, nat = 8, ntyp = 3
/
ATOMIC_SPECIES
Fe 55.84 Fe.upf
W 183.84 W.upf
Cl 35.45 Cl.upf
CELL_PARAMETERS angstrom
4.240 0.000 0.000
0.000 4.240 0.000
0.000 0.000 6.033
ATOMIC_POSITIONS crystal
Fe 0.000 0.000 0.000
Fe 0.000 0.500 0.250
Fe 0.500 0.000 0.750
Fe 0.500 0.500 0.500
W 0.000 0.500 0.750
W 0.500 0.000 0.250
Cl 0.000 0.000 0.500
Cl 0.500 0.500 0.000
```

Values from the calculation:
For the uncorrected formation energy, the calculation gives 0.89 eV/atom. The calculation puts the volume at 108.4 Å³/cell. Its distance to the lowest polymorph of the same formula is 570 meV per atom. The calculation puts the density of states at the Fermi level at 8.74 states/eV per cell. As for the space group: I-4m2, No. 119.